Record 1
The following is a GGA-PBE calculation of an optimized crystal structure of Tl3GaFe, from the Alexandria database.

abc: 5.0977 5.0977 5.0977
angles: 90.00 90.00 90.00
Last column: nearest neighbours and their distance in Å.
Fractional coordinates of all 5 atoms:
Tl (0.0000, 0.0000, 0.5000)  2 Fe 2.55
Tl (0.0000, 0.5000, 0.0000)  2 Fe 2.55
Tl (0.5000, 0.0000, 0.0000)  2 Fe 2.55
Ga (0.5000, 0.5000, 0.5000)  12 Tl 3.60
Fe (0.0000, 0.0000, 0.0000)  6 Tl 2.55

Values from the calculation:
Space-group type: No. 221
Calculated total energy: -16.50 eV/cell
Volume: 26.49 Å³/atom
E_form: 0.42 eV per atom
E above lowest polymorph: 0.0 meV/atom

***

Record 2
The following is a GGA-PBE calculation of an optimized crystal structure of Tl2GaFe, from the Alexandria database.

abc: 5.0173 5.0173 5.0173
angles: 60.00 60.00 60.00
Last column: nearest neighbours and their distance in Å.
Fractional coordinates of all 4 atoms:
Tl (0.2500, 0.2500, 0.2500)  4 Fe 3.07, 4 Ga 3.07
Tl (0.7500, 0.7500, 0.7500)  4 Ga 3.07, 4 Fe 3.07
Ga (0.0000, 0.0000, 0.0000)  8 Tl 3.07
Fe (0.5000, 0.5000, 0.5000)  8 Tl 3.07

Values from the calculation:
Space-group type: No. 225
Calculated total energy: -13.91 eV/cell
Volume: 22.33 Å³/atom
E_form: 0.58 eV per atom
E above lowest polymorph: 246.0 meV/atom

***

Record 3
The following is a GGA-PBE calculation of an optimized crystal structure of TmGa6Fe12, from the Alexandria database.

abc: 6.7283 6.7283 6.7283
angles: 104.15 104.15 104.15
Last column: nearest neighbours and their distance in Å.
Fractional coordinates of all 19 atoms:
Tm (0.0000, 0.0000, 0.0000)  6 Fe 2.96
Ga (0.2768, 0.2768, 0.7158)  8 Fe 2.36-2.62
Ga (0.2768, 0.7158, 0.2768)  8 Fe 2.36-2.62
Ga (0.2842, 0.7232, 0.7232)  8 Fe 2.36-2.62
Ga (0.7158, 0.2768, 0.2768)  8 Fe 2.36-2.62
Ga (0.7232, 0.2842, 0.7232)  8 Fe 2.36-2.62
Ga (0.7232, 0.7232, 0.2842)  8 Fe 2.36-2.62
Fe (0.1083, 0.5000, 0.8917)  1 Fe 2.30, 4 Ga 2.36-2.46
Fe (0.1083, 0.8917, 0.5000)  1 Fe 2.30, 4 Ga 2.36-2.46
Fe (0.1384, 0.3875, 0.3875)  4 Ga 2.54-2.62, 4 Fe 2.58-2.64
Fe (0.3875, 0.1384, 0.3875)  4 Ga 2.54-2.62, 4 Fe 2.58-2.64
Fe (0.3875, 0.3875, 0.1384)  4 Ga 2.54-2.62, 4 Fe 2.58-2.64
Fe (0.5000, 0.1083, 0.8917)  1 Fe 2.30, 4 Ga 2.36-2.46
Fe (0.5000, 0.8917, 0.1083)  1 Fe 2.30, 4 Ga 2.36-2.46
Fe (0.6125, 0.6125, 0.8616)  4 Ga 2.54-2.62, 4 Fe 2.58-2.64
Fe (0.6125, 0.8616, 0.6125)  4 Ga 2.54-2.62, 4 Fe 2.58-2.64
Fe (0.8616, 0.6125, 0.6125)  4 Ga 2.54-2.62, 4 Fe 2.58-2.64
Fe (0.8917, 0.1083, 0.5000)  1 Fe 2.30, 4 Ga 2.36-2.46
Fe (0.8917, 0.5000, 0.1083)  1 Fe 2.30, 4 Ga 2.36-2.46

Values from the calculation:
Space-group type: No. 166
Calculated total energy: -122.66 eV/cell
Volume: 14.26 Å³/atom
E_form: 0.08 eV per atom